Run a
The following is a DFT calculation (PBE-GGA) of crystalline NaCa3Ga at its relaxed geometry.

Summary:
- D(E_F) (states/eV/atom) = 1.120
- mass density (g/cm³) = 1.73

Cell lengths 5.8908, 5.8908, 5.8908 Å; angles 90.00, 90.00, 90.00 degrees
Atoms (fractional coordinates):
Na 0.0000 0.0000 0.0000
Ca 0.0000 0.0000 0.5000
Ca 0.0000 0.5000 0.0000
Ca 0.5000 0.0000 0.0000
Ga 0.5000 0.5000 0.5000

=====

Run b
The following is a DFT calculation (PBE-GGA) of crystalline NaCa3Ga at its relaxed geometry.

Summary:
- D(E_F) (states/eV/atom) = 0.144
- mass density (g/cm³) = 1.75

Cell lengths 5.8711, 5.8711, 5.8711 Å; angles 90.00, 90.00, 90.00 degrees
Atoms (fractional coordinates):
Na 0.0000 0.0000 0.0000
Ca 0.0000 0.5000 0.5000
Ca 0.5000 0.0000 0.5000
Ca 0.5000 0.5000 0.0000
Ga 0.5000 0.5000 0.5000

=====

Referenced to the most stable arrangement, the calculated values in eV/atom are run a 0.630; run b 0.000.